Record 1
The following is a DFT calculation (PBE) of a geometry-optimized In4Hg2I5 structure.

* formation energy (no corrections): -0.338 eV per atom

Cell and atoms, written as CIF:
```
data_In4Hg2I5
_chemical_formula_sum 'In8 Hg4 I10'
_space_group_name_H-M_alt 'C 1 2/m 1'
_space_group_IT_number 12
_space_group_name_Hall '-C 2y'
_cell_length_a 21.050
_cell_length_b 4.598
_cell_length_c 9.983
_cell_angle_alpha 90.00
_cell_angle_beta 118.29
_cell_angle_gamma 90.00
loop_
_atom_site_label
_atom_site_type_symbol
_atom_site_fract_x
_atom_site_fract_y
_atom_site_fract_z
In1 In 0.060 0.000 0.275
In2 In 0.196 0.500 0.026
Hg1 Hg 0.110 0.500 0.498
I1 I 0.000 0.500 0.000
I2 I 0.097 0.000 0.741
I3 I 0.214 0.000 0.278
```

Record 2
The following is a DFT calculation (PBE) of a geometry-optimized BeIr2Rh structure.

* E_form: -23 meV per atom

Cell and atoms, written as CIF:
```
data_BeIr2Rh
_chemical_formula_sum 'Be1 Ir2 Rh1'
_space_group_name_H-M_alt 'P 4/m m m'
_space_group_IT_number 123
_space_group_name_Hall '-P 4 2'
_cell_length_a 3.742
_cell_length_b 3.742
_cell_length_c 3.825
_cell_angle_alpha 90.00
_cell_angle_beta 90.00
_cell_angle_gamma 90.00
loop_
_atom_site_label
_atom_site_type_symbol
_atom_site_fract_x
_atom_site_fract_y
_atom_site_fract_z
Be1 Be 0.000 0.000 0.000
Ir1 Ir 0.000 0.500 0.500
Rh1 Rh 0.500 0.500 0.000
```

Record 3
The following is a DFT calculation (PBE) of a geometry-optimized Ce2Br4F3 structure.

* formation energy (no corrections): -2.546 eV per atom

Cell and atoms, written as CIF:
```
data_Ce2Br4F3
_chemical_formula_sum 'Ce4 Br8 F6'
_space_group_name_H-M_alt 'C 1 2/m 1'
_space_group_IT_number 12
_space_group_name_Hall '-C 2y'
_cell_length_a 16.103
_cell_length_b 3.892
_cell_length_c 7.637
_cell_angle_alpha 90.00
_cell_angle_beta 107.27
_cell_angle_gamma 90.00
loop_
_atom_site_label
_atom_site_type_symbol
_atom_site_fract_x
_atom_site_fract_y
_atom_site_fract_z
Ce1 Ce 0.104 0.000 0.447
Br1 Br 0.069 0.000 0.813
Br2 Br 0.233 0.500 0.695
F1 F 0.000 0.500 0.500
F2 F 0.108 0.500 0.296
```

Record 4
The following is a DFT calculation (PBE) of a geometry-optimized PuBi2As structure.

* E_form: -256 meV per atom

Cell and atoms, written as CIF:
```
data_PuBi2As
_chemical_formula_sum 'Pu1 Bi2 As1'
_space_group_name_H-M_alt 'P 4/m m m'
_space_group_IT_number 123
_space_group_name_Hall '-P 4 2'
_cell_length_a 4.575
_cell_length_b 4.575
_cell_length_c 5.126
_cell_angle_alpha 90.00
_cell_angle_beta 90.00
_cell_angle_gamma 90.00
loop_
_atom_site_label
_atom_site_type_symbol
_atom_site_fract_x
_atom_site_fract_y
_atom_site_fract_z
Pu1 Pu 0.000 0.000 0.000
Bi1 Bi 0.000 0.500 0.500
As1 As 0.500 0.500 0.000
```

Calculated volume for every record listed, in sequence, given in Å³/atom: 38.7, 13.4, 25.4, 26.8.